Entry P
CsRuS2N: optimized geometry, GGA-PBE.

Computed properties:
**Space-group type**: P4/mmm, No. 123
**V**: 100.1 Å³ per cell
**Total magnetization**: 0.000 μB per atom

Cell lengths 5.1493, 5.1493, 3.7759 Å; angles 90.00, 90.00, 90.00 degrees
Closest atoms and distances in Å follow each position.
Element x y z (fractional)
Ru 0.0000 0.0000 0.0000  2 N 1.89
S 0.5000 0.0000 0.0000  2 Ru 2.57
N 0.0000 0.0000 0.5000  2 Ru 1.89
Cs 0.5000 0.5000 0.5000  8 S 3.19
S 0.0000 0.5000 0.0000  2 Ru 2.57

=====

Entry Q
CsRuS2N: optimized geometry, GGA-PBE.

Computed properties:
**Space-group type**: P4/mmm, No. 123
**V**: 126.9 Å³ per cell
**Total magnetization**: 0.684 μB per atom

Cell lengths 5.4355, 5.4355, 4.2962 Å; angles 90.00, 90.00, 90.00 degrees
Closest atoms and distances in Å follow each position.
Element x y z (fractional)
Cs 0.0000 0.0000 0.0000  2 N 2.15
S 0.0000 0.5000 0.0000  2 Cs 2.72
N 0.0000 0.0000 0.5000  2 Cs 2.15
Ru 0.5000 0.5000 0.5000  8 S 3.46, 4 N 3.84
S 0.5000 0.0000 0.0000  2 Cs 2.72

=====

Which structure is the least stable? The one labeled entry Q.

=====

Entry P
CsRuSe2N: optimized geometry, GGA-PBE.

Computed properties:
**Space-group type**: P4/mmm, No. 123
**V**: 143.1 Å³ per cell
**Total magnetization**: 0.237 μB per atom

Cell lengths 5.7586, 5.7586, 4.3168 Å; angles 90.00, 90.00, 90.00 degrees
Closest atoms and distances in Å follow each position.
Element x y z (fractional)
Ru 0.5000 0.5000 0.5000  8 Se 3.60
Cs 0.0000 0.0000 0.0000  2 N 2.16
Se 0.0000 0.5000 0.0000  2 Cs 2.88
Se 0.5000 0.0000 0.0000  2 Cs 2.88
N 0.0000 0.0000 0.5000  2 Cs 2.16

=====

Entry Q
CsRuSe2N: optimized geometry, GGA-PBE.

Computed properties:
**Space-group type**: P4/mmm, No. 123
**V**: 113.3 Å³ per cell
**Total magnetization**: 0.000 μB per atom

Cell lengths 5.5138, 5.5138, 3.7280 Å; angles 90.00, 90.00, 90.00 degrees
Closest atoms and distances in Å follow each position.
Element x y z (fractional)
Ru 0.0000 0.0000 0.0000  2 N 1.86
N 0.0000 0.0000 0.5000  2 Ru 1.86
Cs 0.5000 0.5000 0.5000  8 Se 3.33
Se 0.5000 0.0000 0.0000  2 Ru 2.76
Se 0.0000 0.5000 0.0000  2 Ru 2.76

=====

Which structure is the least stable? The one labeled entry P.

=====

Entry P
CsS2N2: optimized geometry, GGA-PBE.

Computed properties:
**Space-group type**: P4/mmm, No. 123
**V**: 124.2 Å³ per cell
**Total magnetization**: 0.229 μB per atom

Cell lengths 4.1907, 4.1907, 7.0697 Å; angles 90.00, 90.00, 90.00 degrees
Closest atoms and distances in Å follow each position.
Element x y z (fractional)
N 0.0000 0.5000 0.0000  2 Cs 2.10
N 0.5000 0.0000 0.0000  2 Cs 2.10
S 0.0000 0.0000 0.5000  4 S 2.96
S 0.5000 0.5000 0.5000  4 S 2.96
Cs 0.0000 0.0000 0.0000  4 N 2.10

=====

Entry Q
CsS2N2: optimized geometry, GGA-PBE.

Computed properties:
**Space-group type**: P-1, No. 2
**V**: 122.7 Å³ per cell
**Total magnetization**: 0.000 μB per atom

Cell lengths 4.0362, 13.2247, 8.0506 Å; angles 138.46, 96.45, 47.32 degrees
Closest atoms and distances in Å follow each position.
Element x y z (fractional)
Cs 0.0000 0.0000 0.0000  8 N 3.20-3.47
S 0.0335 0.6919 0.0786  1 N 1.51
N 0.6209 0.3866 0.1562  1 S 1.51
N 0.3791 0.6134 0.8438  1 S 1.51
S 0.9665 0.3081 0.9214  1 N 1.51

=====

Which structure is the least stable? The one labeled entry P.

=====

Entry P
CsS2N: optimized geometry, GGA-PBE.

Computed properties:
**Space-group type**: R-3m, No. 166
**V**: 178.3 Å³ per cell
**Total magnetization**: 0.500 μB per atom

Cell lengths 6.9805, 6.9805, 6.9805 Å; angles 49.07, 49.07, 49.07 degrees
Closest atoms and distances in Å follow each position.
Element x y z (fractional)
N 0.0000 0.0000 0.0000  2 S 1.58
S 0.0859 0.0859 0.0859  1 N 1.58
Cs 0.5000 0.5000 0.5000  6 S 3.66
S 0.9141 0.9141 0.9141  1 N 1.58

=====

Entry Q
CsS2N: optimized geometry, GGA-PBE.

Computed properties:
**Space-group type**: R-3m, No. 166
**V**: 92.4 Å³ per cell
**Total magnetization**: 0.000 μB per atom

Cell lengths 8.8133, 8.8133, 8.8133 Å; angles 23.09, 23.09, 23.09 degrees
Closest atoms and distances in Å follow each position.
Element x y z (fractional)
S 0.8771 0.8771 0.8771  3 N 2.33
N 0.5000 0.5000 0.5000  6 S 2.33
S 0.1229 0.1229 0.1229  3 N 2.33
Cs 0.0000 0.0000 0.0000  2 S 3.16, 6 Cs 3.53

=====

Entry R
CsS2N: optimized geometry, GGA-PBE.

Computed properties:
**Space-group type**: Fd-3m, No. 227
**V**: 188.4 Å³ per cell
**Total magnetization**: 0.000 μB per atom

Cell lengths 6.4316, 6.4316, 6.4363 Å; angles 60.02, 60.02, 90.00 degrees
Closest atoms and distances in Å follow each position.
Element x y z (fractional)
S 0.3743 0.1250 0.2500  2 N 1.97
N 0.5000 0.5000 0.0000  4 S 1.97
S 0.3750 0.6257 0.7500  2 N 1.97
Cs 0.0000 0.0000 0.0000  12 S 3.77-3.78, 4 N 3.94, 4 Cs 3.94
Cs 0.7500 0.2500 0.5000  12 S 3.77-3.78, 4 Cs 3.94, 4 N 3.94
N 0.2500 0.7500 0.5000  4 S 1.97
S 0.8750 0.6243 0.7500  2 N 1.97
S 0.3757 0.6250 0.2500  2 N 1.97

=====

Which structure is the least stable? The one labeled entry Q.

=====

Entry P
CsSN2: optimized geometry, GGA-PBE.

Computed properties:
**Space-group type**: Fd-3m, No. 227
**V**: 132.8 Å³ per cell
**Total magnetization**: 0.000 μB per atom

Cell lengths 5.7288, 5.7288, 5.7265 Å; angles 59.99, 59.99, 90.00 degrees
Closest atoms and distances in Å follow each position.
Element x y z (fractional)
S 0.5000 0.5000 0.0000  4 N 1.75
Cs 0.0000 0.0000 0.0000  12 N 3.36, 4 S 3.51, 4 Cs 3.51
Cs 0.7500 0.2500 0.5000  12 N 3.36, 4 S 3.51, 4 Cs 3.51
S 0.2500 0.7500 0.5000  4 N 1.75
N 0.8750 0.6243 0.7500  2 S 1.75
N 0.3757 0.6250 0.2500  2 S 1.75
N 0.3750 0.6257 0.7500  2 S 1.75
N 0.3743 0.1250 0.2500  2 S 1.75

=====

Entry Q
CsSN2: optimized geometry, GGA-PBE.

Computed properties:
**Space-group type**: Amm2, No. 38
**V**: 129.6 Å³ per cell
**Total magnetization**: 0.067 μB per atom

Cell lengths 3.5208, 7.3576, 7.3576 Å; angles 137.18, 90.00, 90.00 degrees
Closest atoms and distances in Å follow each position.
Element x y z (fractional)
S 0.5000 0.5898 0.4102  4 Cs 3.44, 2 S 3.52, 4 N 3.72-3.84
N 0.5000 0.4161 0.7914  1 N 1.11
N 0.5000 0.2086 0.5839  1 N 1.11
Cs 0.0000 0.0006 0.9994  4 S 3.44, 2 Cs 3.52, 4 N 3.78

=====

Which structure is the least stable? The one labeled entry P.

=====

Entry P
CsSbSN2: optimized geometry, GGA-PBE.

Computed properties:
**Space-group type**: P4/mmm, No. 123
**V**: 106.0 Å³ per cell
**Total magnetization**: 0.534 μB per atom

Cell lengths 4.5132, 4.5132, 5.2034 Å; angles 90.00, 90.00, 90.00 degrees
Closest atoms and distances in Å follow each position.
Element x y z (fractional)
Sb 0.0000 0.0000 0.0000  4 N 2.26
Cs 0.5000 0.5000 0.5000  4 S 3.19, 8 N 3.44
N 0.5000 0.0000 0.0000  2 Sb 2.26
N 0.0000 0.5000 0.0000  2 Sb 2.26
S 0.0000 0.0000 0.5000  2 Sb 2.60

=====

Entry Q
CsSbSN2: optimized geometry, GGA-PBE.

Computed properties:
**Space-group type**: P4/mmm, No. 123
**V**: 114.1 Å³ per cell
**Total magnetization**: 0.000 μB per atom

Cell lengths 4.2784, 4.2784, 6.2320 Å; angles 90.00, 90.00, 90.00 degrees
Closest atoms and distances in Å follow each position.
Element x y z (fractional)
N 0.5000 0.0000 0.0000  2 Cs 2.14
S 0.0000 0.0000 0.5000  4 Sb 3.03, 2 Cs 3.12
Sb 0.5000 0.5000 0.5000  4 S 3.03
N 0.0000 0.5000 0.0000  2 Cs 2.14
Cs 0.0000 0.0000 0.0000  4 N 2.14

=====

Which structure is the least stable? The one labeled entry Q.

=====

Entry P
CsSbS2N: optimized geometry, GGA-PBE.

Computed properties:
**Space-group type**: P4/mmm, No. 123
**V**: 121.9 Å³ per cell
**Total magnetization**: 0.316 μB per atom

Cell lengths 5.2742, 5.2742, 4.3826 Å; angles 90.00, 90.00, 90.00 degrees
Closest atoms and distances in Å follow each position.
Element x y z (fractional)
S 0.0000 0.5000 0.0000  2 Sb 2.64
Sb 0.0000 0.0000 0.0000  2 N 2.19
N 0.0000 0.0000 0.5000  2 Sb 2.19
S 0.5000 0.0000 0.0000  2 Sb 2.64
Cs 0.5000 0.5000 0.5000  8 S 3.43, 4 N 3.73

=====

Entry Q
CsSbS2N: optimized geometry, GGA-PBE.

Computed properties:
**Space-group type**: P4/mmm, No. 123
**V**: 134.8 Å³ per cell
**Total magnetization**: 0.000 μB per atom

Cell lengths 5.6030, 5.6030, 4.2953 Å; angles 90.00, 90.00, 90.00 degrees
Closest atoms and distances in Å follow each position.
Element x y z (fractional)
Cs 0.0000 0.0000 0.0000  2 N 2.15
Sb 0.5000 0.5000 0.5000  8 S 3.53
S 0.5000 0.0000 0.0000  2 Cs 2.80
N 0.0000 0.0000 0.5000  2 Cs 2.15
S 0.0000 0.5000 0.0000  2 Cs 2.80

=====

Which structure is the least stable? The one labeled entry Q.